(1)
# Rb6Au2SO (PBE, optimized geometry)
data_Rb6Au2SO
_cell_length_a 8.181
_cell_length_b 8.828
_cell_length_c 11.865
_cell_angle_alpha 90.00
_cell_angle_beta 90.00
_cell_angle_gamma 90.00
_space_group_name_H-M_alt 'P 1'
_space_group_IT_number 1
loop_
_space_group_symop_operation_xyz
'x,y,z'
loop_
_atom_site_label
_atom_site_type_symbol
_atom_site_fract_x
_atom_site_fract_y
_atom_site_fract_z
Rb1 Rb 0.500 0.215 0.265
Rb2 Rb 0.500 0.215 0.735
Rb3 Rb 0.000 0.785 0.235
Rb4 Rb 0.000 0.785 0.765
Rb5 Rb 0.264 0.985 0.500
Rb6 Rb 0.736 0.985 0.500
Rb7 Rb 0.242 0.426 0.500
Rb8 Rb 0.758 0.426 0.500
Rb9 Rb 0.742 0.574 0.000
Rb10 Rb 0.258 0.574 0.000
Rb11 Rb 0.236 0.015 0.000
Rb12 Rb 0.764 0.015 0.000
Au1 Au 0.500 0.806 0.219
Au2 Au 0.000 0.194 0.719
Au3 Au 0.500 0.806 0.781
Au4 Au 0.000 0.194 0.281
S1 S 0.000 0.711 0.500
S2 S 0.500 0.289 0.000
O1 O 0.500 0.223 0.500
O2 O 0.000 0.777 0.000
# symmetry	Pmmn (59)
# calculated density	3.7	Mg/m³
# volume	856.82	Å³ per cell
# raw formation energy	-62.7	kJ per mole of atoms


(2)
# RbAuS2O8 (PBE, optimized geometry)
data_RbAuS2O8
_cell_length_a 5.024
_cell_length_b 5.024
_cell_length_c 9.295
_cell_angle_alpha 74.32
_cell_angle_beta 74.32
_cell_angle_gamma 60.00
_space_group_name_H-M_alt 'P 1'
_space_group_IT_number 1
loop_
_space_group_symop_operation_xyz
'x,y,z'
loop_
_atom_site_label
_atom_site_type_symbol
_atom_site_fract_x
_atom_site_fract_y
_atom_site_fract_z
Rb1 Rb 0.000 0.000 0.000
Au1 Au 0.500 0.500 0.500
S1 S 0.760 0.760 0.720
S2 S 0.240 0.240 0.280
O1 O 0.704 0.704 0.887
O2 O 0.296 0.296 0.113
O3 O 0.490 0.249 0.335
O4 O 0.751 0.510 0.665
O5 O 0.074 0.751 0.665
O6 O 0.249 0.926 0.335
O7 O 0.926 0.490 0.335
O8 O 0.510 0.074 0.665
# symmetry	R32 (155)
# calculated density	4.1	Mg/m³
# density of states at the Fermi level	0.8	states/eV/cell
# volume	193.00	Å³ per cell
# raw formation energy	-104.8	kJ per mole of atoms


(3)
# Rb2ScAuO4 (PBE, optimized geometry)
data_Rb2ScAuO4
_cell_length_a 5.954
_cell_length_b 7.627
_cell_length_c 11.291
_cell_angle_alpha 84.09
_cell_angle_beta 74.71
_cell_angle_gamma 67.02
_space_group_name_H-M_alt 'P 1'
_space_group_IT_number 1
loop_
_space_group_symop_operation_xyz
'x,y,z'
loop_
_atom_site_label
_atom_site_type_symbol
_atom_site_fract_x
_atom_site_fract_y
_atom_site_fract_z
Rb1 Rb 0.186 0.000 0.628
Rb2 Rb 0.814 0.000 0.372
Rb3 Rb 0.564 0.500 0.872
Rb4 Rb 0.936 0.500 0.128
Sc1 Sc 0.750 0.500 0.500
Sc2 Sc 0.000 0.000 0.000
Au1 Au 0.250 0.500 0.500
Au2 Au 0.500 0.000 0.000
O1 O 0.336 0.804 0.017
O2 O 0.157 0.196 0.983
O3 O 0.860 0.804 0.983
O4 O 0.647 0.196 0.017
O5 O 0.414 0.696 0.483
O6 O 0.593 0.304 0.517
O7 O 0.890 0.696 0.517
O8 O 0.103 0.304 0.483
# symmetry	Fddd (70)
# calculated density	3.5	Mg/m³
# volume	455.35	Å³ per cell
# raw formation energy	-138.4	kJ per mole of atoms